[1]
A geometry-optimized Rh2AuI2 structure, computed with PBE-GGA.

Summary:
For the density, the calculation gives 10454 kg/m3. The formation energy from raw total energies is 42.2 kJ per mole of atoms. As for the energy above the most stable polymorph in this dataset: 0.000 eV per atom.

Cell: 7.3385 7.3385 3.8730 Å, 90.00 90.00 90.00°
With the nearest neighbours (Å) after each atom.
Space group P4/mbm (No. 127)
Inequivalent atoms, fractional coordinates:
Rh1 0.1504 0.3496 0.0000 (multiplicity 4)  6 I 2.71-3.03, 2 Au 2.79
Au1 0.0000 0.0000 0.0000 (multiplicity 2)  4 Rh 2.79
I1 0.1663 0.6663 0.5000 (multiplicity 4)  6 Rh 2.71-3.03


[2]
A geometry-optimized RhAuI2 structure, computed with PBE-GGA.

Summary:
For the density, the calculation gives 7444 kg/m3. The formation energy from raw total energies is 27.4 kJ per mole of atoms. As for the energy above the most stable polymorph in this dataset: 0.000 eV per atom.

Cell: 6.3676 6.3676 12.1848 Å, 90.00 90.00 90.00°
With the nearest neighbours (Å) after each atom.
Space group I-42d (No. 122)
Inequivalent atoms, fractional coordinates:
Rh1 0.0000 0.0000 0.0000 (multiplicity 4)  4 I 2.61
Au1 0.0000 0.0000 0.5000 (multiplicity 4)  4 I 2.84
I1 0.2191 0.2500 0.1250 (multiplicity 8)  2 Rh 2.61, 2 Au 2.84


[3]
A geometry-optimized Sb2RhAuI structure, computed with PBE-GGA.

Summary:
For the density, the calculation gives 7740 kg/m3. The formation energy from raw total energies is 42.3 kJ per mole of atoms. As for the energy above the most stable polymorph in this dataset: 0.000 eV per atom.

Cell: 5.0966 5.0966 5.5364 Å, 90.00 90.00 90.00°
With the nearest neighbours (Å) after each atom.
Space group P4/mmm (No. 123)
Inequivalent atoms, fractional coordinates:
Sb1 0.0000 0.5000 0.0000 (multiplicity 2)  2 Rh 2.55
Rh1 0.0000 0.0000 0.0000 (multiplicity 1)  4 Sb 2.55, 2 I 2.77
Au1 0.5000 0.5000 0.5000 (multiplicity 1)  4 I 3.60, 8 Sb 3.76
I1 0.0000 0.0000 0.5000 (multiplicity 1)  2 Rh 2.77


[4]
A geometry-optimized SiRh2AuI structure, computed with PBE-GGA.

Summary:
For the density, the calculation gives 9426 kg/m3. The formation energy from raw total energies is -14.7 kJ per mole of atoms. As for the energy above the most stable polymorph in this dataset: 0.061 eV per atom.

Cell: 3.2773 3.4644 8.9600 Å, 79.35 79.55 89.98°
With the nearest neighbours (Å) after each atom.
Space group P1 (No. 1)
Inequivalent atoms, fractional coordinates:
Si1 0.0000 0.0000 0.0000 (multiplicity 1)  6 Rh 2.30-2.53, 1 Au 2.50
Rh1 0.0889 0.6011 0.8191 (multiplicity 1)  2 Si 2.30-2.37
Rh2 0.4576 0.4471 0.0849 (multiplicity 1)  4 Si 2.47-2.53
Au1 0.8566 0.8396 0.2886 (multiplicity 1)  1 Si 2.50
I1 0.6980 0.9499 0.5989 (multiplicity 1)  2 Rh 2.65, 1 Au 2.83


Number 1: uncorrected energy -37.79 eV for the cell shown, N(E_F) 1.826 states/eV per atom. Number 2: uncorrected energy -50.37 eV for the cell shown, N(E_F) 0.330 states/eV per atom. Number 3: uncorrected energy -18.23 eV for the cell shown, N(E_F) 0.579 states/eV per atom. Number 4: uncorrected energy -25.72 eV for the cell shown, N(E_F) 0.099 states/eV per atom.